NpPa2H8: optimized geometry, PBE.

Computed properties:
As for the magnetic moment: 6.5 Bohr magnetons per cell. The crystal system is orthorhombic. Its raw total energy is -5.61 eV per atom.

Structure (POSCAR):
```
NpPa2H8
1.0
-1.6872 3.0877 5.0480
1.6872 -3.0877 5.0480
1.6872 3.0877 -5.0480
Np Pa H
1 2 8
Direct
0.0000 0.0000 0.0000
0.3305 0.3305 0.0000
0.6695 0.6695 0.0000
0.0889 0.8353 0.2536
0.1667 0.6667 0.5000
0.2576 0.5000 0.7576
0.4183 0.1647 0.2536
0.5817 0.8353 0.7464
0.7424 0.5000 0.2424
0.8333 0.3333 0.5000
0.9111 0.1647 0.7464
```



In2Se2I: optimized geometry, PBE.

Computed properties:
As for the magnetic moment: 0.0 Bohr magnetons per cell. The crystal system is tetragonal. The value obtained for the energy relative to the elements, uncorrected is -2.11 eV per formula unit. Its raw total energy is -3.22 eV per atom.

Structure (POSCAR):
```
In2Se2I
1.0
-2.0693 2.0693 8.6845
2.0693 -2.0693 8.6845
2.0693 2.0693 -8.6845
In Se I
2 2 1
Direct
0.1691 0.1691 0.0000
0.8309 0.8309 0.0000
0.3291 0.3291 0.0000
0.6709 0.6709 0.0000
0.0000 0.0000 0.0000
```



La2TbNd4: optimized geometry, PBE.

Computed properties:
As for the magnetic moment: 0.7 Bohr magnetons per cell. For the formation energy from the elements, the calculation gives 0.599 eV/atom. The crystal system is tetragonal. Its raw total energy is -4.19 eV per atom.

Structure (POSCAR):
```
La2TbNd4
1.0
-2.8669 2.8669 8.7373
2.8669 -2.8669 8.7373
2.8669 2.8669 -8.7373
La Tb Nd
2 1 4
Direct
0.1174 0.1174 0.0000
0.8826 0.8826 0.0000
0.5000 0.5000 0.0000
0.0000 0.5000 0.5000
0.3175 0.3175 0.0000
0.5000 0.0000 0.5000
0.6825 0.6825 0.0000
```



GdNpPt4: optimized geometry, PBE.

Computed properties:
As for the magnetic moment: 11.9 Bohr magnetons per cell. For the formation energy from the elements, the calculation gives 0.966 eV/atom. The crystal system is cubic. Its raw total energy is -7.56 eV per atom.

Structure (POSCAR):
```
GdNpPt4
1.0
0.0000 4.7319 4.7319
4.7319 0.0000 4.7319
4.7319 4.7319 0.0000
Gd Np Pt
1 1 4
Direct
0.0000 0.0000 0.0000
0.7500 0.7500 0.7500
0.1521 0.1521 0.1521
0.1521 0.1521 0.5438
0.1521 0.5438 0.1521
0.5438 0.1521 0.1521
```



Q: What is the magnetic moment in the first record?
A: 6.5 Bohr magnetons per cell



Q: What is the raw total energy in the fourth record?
A: -7.56 eV per atom